Here is a geometry-optimized V4Te5P structure from the Alexandria database. Energies are from PBE-GGA.

a b c (Å): 16.512 3.530 7.668
angles (deg): 90.00 102.83 90.00
Space group C2/m (No. 12)
Inequivalent atoms, fractional coordinates:
V1 0.003 0.000 0.305 [4 per cell]
V2 0.140 0.500 0.576 [4 per cell]
Te1 0.000 0.500 0.000 [2 per cell]
Te2 0.160 0.000 0.846 [4 per cell]
Te3 0.175 0.000 0.337 [4 per cell]
P1 0.000 0.500 0.500 [2 per cell]

E_form (uncorrected)	-32.0	kJ per mole of atoms